Here is crystalline KRb2SbCl8 at its relaxed geometry from Alexandria. Energies are from GGA-PBE.

Unit cell a=6.1418 b=10.8648 c=9.3886 alpha=97.64 beta=70.38 gamma=132.00
Last column: magnetic moment on the atom in μB.
Element x y z (fractional)
Cl 0.0712 0.8654 0.1391  0.00
Cl 0.2463 0.9592 0.7591  0.00
Cl 0.3943 0.6447 0.5982  0.07
Cl 0.5048 0.7317 0.0053  0.00
Cl 0.6057 0.3553 0.4018  0.07
Cl 0.4952 0.2683 0.9947  0.00
Cl 0.9288 0.1346 0.8609  0.00
Cl 0.7537 0.0408 0.2409  0.00
Sb 0.0000 0.0000 0.0000  0.00
Rb 0.2914 0.4673 0.2992  0.00
Rb 0.7086 0.5327 0.7008  0.00
K 0.0000 0.0000 0.5000  0.00

Properties
total DFT energy (no corrections): -37.65 eV per cell
symmetry: P-1 (2)

=====

Here is crystalline CaSmTm2As4 at its relaxed geometry from Alexandria. Energies are from GGA-PBE.

Unit cell a=4.1319 b=7.2143 c=7.1701 alpha=70.75 beta=90.00 gamma=90.00
Element x y z (fractional)
As 0.0000 0.7609 0.7476
As 0.0000 0.2391 0.2524
As 0.5000 0.2369 0.7564
As 0.5000 0.7631 0.2436
Tm 0.5000 0.0000 0.5000
Tm 0.0000 0.0000 0.0000
Sm 0.5000 0.5000 0.0000
Ca 0.0000 0.5000 0.5000

Properties
calculated formation energy: -1.3546 eV per atom
symmetry: P2/m (10)

=====

Here is crystalline Zr3P at its relaxed geometry from Alexandria. Energies are from GGA-PBE.

Unit cell a=4.7930 b=4.7930 c=4.7930 alpha=60.00 beta=60.00 gamma=60.00
Element x y z (fractional)
Zr 0.5000 0.5000 0.5000
Zr 0.7500 0.7500 0.7500
Zr 0.2500 0.2500 0.2500
P 0.0000 0.0000 0.0000

Properties
relative energy among the computed polymorphs: 2.916 eV per formula unit
calculated formation energy: -0.1336 eV per atom
symmetry: Fm-3m (225)

=====

Here is crystalline Er2BeNi at its relaxed geometry from Alexandria. Energies are from GGA-PBE.

Unit cell a=3.3764 b=3.3764 c=6.6290 alpha=90.00 beta=90.00 gamma=90.00
Element x y z (fractional)
Er 0.0000 0.0000 0.2519
Er 0.0000 0.0000 0.7481
Ni 0.5000 0.5000 0.5000
Be 0.5000 0.5000 0.0000

Properties
relative energy among the computed polymorphs: 0.000 eV per formula unit
calculated formation energy: -0.1938 eV per atom
symmetry: P4/mmm (123)

=====

Here is crystalline PuScMo4 at its relaxed geometry from Alexandria. Energies are from GGA-PBE.

Unit cell a=5.4251 b=5.4251 c=5.4251 alpha=60.00 beta=60.00 gamma=60.00
Last column: magnetic moment on the atom in μB.
Element x y z (fractional)
Mo 0.6249 0.1254 0.6249  -0.04
Mo 0.1254 0.6249 0.6249  -0.04
Mo 0.6249 0.6249 0.1254  -0.04
Mo 0.6249 0.6249 0.6249  -0.04
Pu 0.2500 0.2500 0.2500  4.95
Sc 0.0000 0.0000 0.0000  0.02

Properties
calculated formation energy: 0.1965 eV per atom
symmetry: F-43m (216)

=====

Here is crystalline BaSmTm at its relaxed geometry from Alexandria. Energies are from GGA-PBE.

Unit cell a=3.7915 b=3.7915 c=8.6020 alpha=102.73 beta=102.73 gamma=90.00
Element x y z (fractional)
Tm 0.6816 0.6816 0.3633
Sm 0.3175 0.3175 0.6351
Ba 0.0008 0.0008 0.0016

Properties
calculated formation energy: 0.1851 eV per atom
symmetry: I4mm (107)

=====

Here is crystalline MnCuRh2N at its relaxed geometry from Alexandria. Energies are from GGA-PBE.

Unit cell a=4.0453 b=4.0453 c=3.8668 alpha=90.00 beta=90.00 gamma=90.00
Last column: magnetic moment on the atom in μB.
Element x y z (fractional)
Cu 0.5000 0.5000 0.5000  0.10
Rh 0.0000 0.5000 0.0000  0.12
Rh 0.5000 0.0000 0.0000  0.12
N 0.0000 0.0000 0.0000  -0.12
Mn 0.0000 0.0000 0.5000  3.26

Properties
total DFT energy (no corrections): -36.22 eV per cell
symmetry: P4/mmm (123)

=====

Here is crystalline Rb2LiZnSb2 at its relaxed geometry from Alexandria. Energies are from GGA-PBE.

Unit cell a=6.8998 b=6.9506 c=9.5845 alpha=111.26 beta=111.10 gamma=90.00
Element x y z (fractional)
Rb 0.4099 0.1676 0.3352
Rb 0.9253 0.6676 0.3352
Rb 0.0747 0.3324 0.6648
Rb 0.5901 0.8324 0.6648
Sb 0.1785 0.9121 0.8242
Sb 0.8215 0.0879 0.1758
Sb 0.6458 0.4121 0.8242
Sb 0.3542 0.5879 0.1758
Li 0.0000 0.2500 0.0000
Li 0.0000 0.7500 0.0000
Zn 0.5000 0.7500 0.0000
Zn 0.5000 0.2500 0.0000

Properties
total DFT energy (no corrections): -31.52 eV per cell
symmetry: Ibam (72)

=====

Here is crystalline LaLuPd at its relaxed geometry from Alexandria. Energies are from GGA-PBE.

Unit cell a=4.1297 b=4.7591 c=4.7591 alpha=120.00 beta=90.00 gamma=90.00
Element x y z (fractional)
Lu 0.1218 0.0000 0.0000
La 0.6345 0.6667 0.3333
Pd 0.2437 0.3333 0.6667

Properties
relative energy among the computed polymorphs: 0.370 eV per formula unit
calculated formation energy: -0.4259 eV per atom
symmetry: P3m1 (156)

=====

Here is crystalline Er6SbP3S2 at its relaxed geometry from Alexandria. Energies are from GGA-PBE.

Unit cell a=3.9998 b=8.0452 c=8.9691 alpha=103.31 beta=102.88 gamma=90.00
Element x y z (fractional)
Er 0.3259 0.9194 0.6518
Er 0.3348 0.4109 0.6696
Er 0.0008 0.7314 0.0015
Er 0.6652 0.5891 0.3304
Er 0.6741 0.0806 0.3482
Er 0.9992 0.2686 0.9985
Sb 0.5000 0.0000 0.0000
P 0.1658 0.8306 0.3317
P 0.5000 0.5000 0.0000
P 0.8342 0.1694 0.6683
S 0.1696 0.3380 0.3391
S 0.8304 0.6620 0.6609

Properties
total DFT energy (no corrections): -75.89 eV per cell
symmetry: C2/m (12)